Computed, not measured: Mg6In3Cu after structural relaxation at the GGA-PBE level of DFT.

The structure in CIF format:
```
data_Mg6In3Cu
_chemical_formula_sum 'Mg12 In6 Cu2'
_space_group_name_H-M_alt 'P 1 21/m 1'
_space_group_IT_number 11
_space_group_name_Hall '-P 2yb'
_cell_length_a 8.940
_cell_length_b 4.658
_cell_length_c 11.121
_cell_angle_alpha 90.00
_cell_angle_beta 102.75
_cell_angle_gamma 90.00
loop_
_atom_site_label
_atom_site_type_symbol
_atom_site_fract_x
_atom_site_fract_y
_atom_site_fract_z
Mg1 Mg 0.009 0.250 0.367
Mg2 Mg 0.073 0.250 0.088
Mg3 Mg 0.223 0.750 0.474
Mg4 Mg 0.330 0.750 0.766
Mg5 Mg 0.390 0.250 0.978
Mg6 Mg 0.449 0.250 0.601
In1 In 0.075 0.250 0.818
In2 In 0.310 0.750 0.125
In3 In 0.340 0.250 0.319
Cu1 Cu 0.157 0.250 0.605
```

Output
- DOS(E_F) (states/eV/f.u.) = 3.469
- DFT formation energy (eV/atom) = -0.02